[1]
PuScAgRu: optimized geometry, GGA-PBE.

extended XYZ file:
```
4
Lattice="3.235 0.000 0.000 0.000 3.235 0.000 0.000 0.000 7.645" Properties=species:S:1:pos:R:3 pbc="T T T"
Pu 1.617 1.617 6.026
Ru 0.000 0.000 4.204
Ag 0.000 0.000 0.749
Sc 1.617 1.617 2.663
```

Calculated values
energy relative to the elements: -293.8 meV/atom
total moment: 5.54 μB/cell
Fermi-level density of states: 5.895 states/eV/f.u.
calculated volume: 80.0 Å³/f.u.
electronic total energy: -8.491 eV per atom
ΔE to the lowest computed polymorph: 0 meV per atom



[2]
PuScAgRu: optimized geometry, GGA-PBE.

extended XYZ file:
```
4
Lattice="-3.736 -3.033 -0.486 0.663 -4.352 -2.002 -0.252 -3.982 2.732" Properties=species:S:1:pos:R:3 pbc="T T T"
Ag -0.831 -2.842 0.061
Sc 0.000 0.000 0.000
Pu -1.662 -5.684 0.122
Ru -2.493 -8.526 0.183
```

Calculated values
energy relative to the elements: -115.8 meV/atom
total moment: 5.50 μB/cell
Fermi-level density of states: 9.672 states/eV/f.u.
calculated volume: 80.0 Å³/f.u.
electronic total energy: -8.313 eV per atom
ΔE to the lowest computed polymorph: 178 meV per atom



[3]
TbPuAgRu: optimized geometry, GGA-PBE.

extended XYZ file:
```
4
Lattice="-2.178 2.693 -3.574 -4.831 -0.644 -1.006 -3.286 3.539 1.204" Properties=species:S:1:pos:R:3 pbc="T T T"
Ru -7.721 4.191 -2.532
Ag -2.574 1.397 -0.844
Pu -5.147 2.794 -1.688
Tb 0.000 0.000 0.000
```

Calculated values
energy relative to the elements: -101.0 meV/atom
total moment: 5.48 μB/cell
Fermi-level density of states: 11.064 states/eV/f.u.
calculated volume: 87.2 Å³/f.u.
electronic total energy: -7.873 eV per atom



[4]
TmPuAgRu: optimized geometry, GGA-PBE.

extended XYZ file:
```
4
Lattice="-2.503 1.820 -3.844 -0.485 -2.675 -4.119 -4.393 -1.898 -1.206" Properties=species:S:1:pos:R:3 pbc="T T T"
Ag -1.845 -0.688 -2.292
Tm 0.000 0.000 0.000
Pu -3.691 -1.377 -4.585
Ru -5.536 -2.065 -6.877
```

Calculated values
energy relative to the elements: -131.9 meV/atom
total moment: 5.49 μB/cell
Fermi-level density of states: 10.871 states/eV/f.u.
calculated volume: 85.0 Å³/f.u.
electronic total energy: -7.865 eV per atom



[5]
Pu3Ag4S8: optimized geometry, GGA-PBE.

extended XYZ file:
```
15
Lattice="2.889 -7.066 2.145 0.546 -5.845 -5.332 7.182 -2.311 -2.629" Properties=species:S:1:pos:R:3 pbc="T T T"
Pu 3.864 -4.078 -3.980
Pu 5.035 -4.689 -0.242
Pu 3.591 -1.156 -1.314
S 4.222 -7.267 -0.311
S 2.996 -6.628 -4.223
S 4.507 -10.325 -3.100
S 6.109 -4.897 -2.715
S 7.620 -8.595 -1.593
S 7.736 -11.491 -4.303
S 6.394 -7.955 -5.505
S 2.880 -3.731 -1.512
Ag 5.308 -7.611 -2.908
Ag 7.827 -6.780 -3.561
Ag 2.789 -8.443 -2.254
Ag 0.000 0.000 0.000
```

Calculated values
total moment: 12.19 μB/cell
Fermi-level density of states: 27.351 states/eV/f.u.
formation energy (no corrections): -12.47 eV per formula unit
calculated volume: 356.6 Å³/f.u.
electronic total energy: -6.660 eV per atom
ΔE to the lowest computed polymorph: 0 meV per atom



[6]
Pu3Ag4S8: optimized geometry, GGA-PBE.

extended XYZ file:
```
15
Lattice="-7.609 0.894 -1.779 4.958 -3.721 -4.800 2.358 -4.652 5.854" Properties=species:S:1:pos:R:3 pbc="T T T"
Ag 2.479 -1.861 -2.400
Ag -3.804 0.447 -0.889
Ag 1.179 -2.326 2.927
Ag 0.000 0.000 0.000
Pu -1.325 -1.414 -3.289
Pu -2.625 -1.879 2.037
Pu -0.146 -3.740 -0.362
S -0.789 -3.970 2.271
S 4.298 -3.958 -2.093
S 1.731 -1.985 0.249
S -1.973 -1.788 -0.638
S 3.019 -4.416 3.147
S -2.023 -5.494 -0.974
S 1.681 -5.691 -0.087
S 0.497 -3.510 -2.996
```

Calculated values
total moment: 12.35 μB/cell
Fermi-level density of states: 21.704 states/eV/f.u.
formation energy (no corrections): -12.00 eV per formula unit
calculated volume: 325.0 Å³/f.u.
electronic total energy: -6.628 eV per atom
ΔE to the lowest computed polymorph: 31 meV per atom



[7]
PuAgS: optimized geometry, GGA-PBE.

extended XYZ file:
```
6
Lattice="4.648 0.000 0.000 2.324 4.026 0.000 2.324 1.342 7.727" Properties=species:S:1:pos:R:3 pbc="T T T"
Pu 4.648 2.684 1.662
Pu 4.648 2.684 6.065
Ag 2.324 1.342 3.910
Ag 6.973 4.026 3.817
S 6.973 4.026 6.648
S 2.324 1.342 1.079
```

Calculated values
total moment: 10.79 μB/cell
Fermi-level density of states: 9.298 states/eV/f.u.
formation energy (no corrections): -2.47 eV per formula unit
calculated volume: 72.3 Å³/f.u.
electronic total energy: -7.927 eV per atom



[8]
Pu2AgS4: optimized geometry, GGA-PBE.

extended XYZ file:
```
28
Lattice="-0.377 4.494 -6.592 -6.599 -3.529 2.810 2.047 11.374 7.637" Properties=species:S:1:pos:R:3 pbc="T T T"
S -0.884 4.073 2.640
S 0.175 9.625 6.721
S -4.471 4.556 0.942
S -4.045 8.266 1.214
S -4.398 2.202 4.172
S -3.871 6.193 4.256
S -0.531 10.137 -0.317
S -0.458 7.783 2.912
S -3.235 8.014 8.067
S -1.058 6.146 -0.402
S -5.104 2.714 -2.867
S -1.363 2.201 -0.841
S -0.027 12.030 3.194
S -4.902 0.309 0.661
S -1.695 4.325 -4.213
S -3.566 10.137 4.695
Pu -0.188 2.247 -3.296
Pu 0.835 7.934 0.522
Pu 0.000 0.000 0.000
Pu -3.300 -1.765 1.405
Pu -2.465 6.169 1.927
Pu -6.184 0.423 3.061
Pu 1.255 11.916 0.793
Pu 1.023 5.687 3.818
Ag -3.956 2.452 -0.522
Ag -2.739 5.892 6.593
Ag -0.973 9.887 4.376
Ag -2.190 6.446 -2.739
```

Calculated values
total moment: 17.91 μB/cell
Fermi-level density of states: 20.937 states/eV/f.u.
formation energy (no corrections): -8.38 eV per formula unit
calculated volume: 180.4 Å³/f.u.
electronic total energy: -8.058 eV per atom
ΔE to the lowest computed polymorph: 0 meV per atom



[9]
PuAg5S5: optimized geometry, GGA-PBE.

extended XYZ file:
```
11
Lattice="5.317 0.000 0.000 -2.658 6.070 -0.717 0.000 -3.092 7.718" Properties=species:S:1:pos:R:3 pbc="T T T"
Ag 0.000 3.911 0.783
Ag 2.658 1.391 2.240
Ag 0.000 1.587 4.761
Ag 2.658 -0.933 6.218
Ag 0.000 -1.546 3.859
Pu 0.000 0.000 0.000
S 2.658 0.000 0.000
S 2.658 1.252 4.844
S 0.000 -0.907 6.141
S 2.658 3.886 0.860
S 0.000 1.726 2.157
```

Calculated values
total moment: 3.92 μB/cell
Fermi-level density of states: 9.834 states/eV/f.u.
formation energy (no corrections): -4.01 eV per formula unit
calculated volume: 237.3 Å³/f.u.
electronic total energy: -4.839 eV per atom



[10]
PuAgS2: optimized geometry, GGA-PBE.

extended XYZ file:
```
8
Lattice="4.019 0.000 0.000 0.000 4.030 0.000 0.000 0.000 11.584" Properties=species:S:1:pos:R:3 pbc="T T T"
S 0.000 2.015 1.288
S 2.009 0.000 4.112
S 2.009 0.000 10.296
S 0.000 2.015 7.471
Pu 0.000 2.015 10.062
Pu 2.009 0.000 1.522
Ag 0.000 0.000 5.805
Ag 2.009 2.015 5.779
```

Calculated values
total moment: 9.98 μB/cell
Fermi-level density of states: 8.182 states/eV/f.u.
formation energy (no corrections): -3.78 eV per formula unit
calculated volume: 93.8 Å³/f.u.
electronic total energy: -7.304 eV per atom



[11]
PuAgS2: optimized geometry, GGA-PBE.

extended XYZ file:
```
4
Lattice="-2.185 0.450 -3.184 -3.870 0.209 0.312 -1.614 6.741 -0.314" Properties=species:S:1:pos:R:3 pbc="T T T"
S -1.916 1.869 -0.795
S -1.713 5.145 -0.472
Pu -3.833 3.724 -1.591
Ag -5.655 7.103 -2.237
```

Calculated values
total moment: 5.00 μB/cell
Fermi-level density of states: 5.584 states/eV/f.u.
formation energy (no corrections): -3.71 eV per formula unit
calculated volume: 85.9 Å³/f.u.
electronic total energy: -7.287 eV per atom



[12]
Pu2AgS3: optimized geometry, GGA-PBE.

extended XYZ file:
```
6
Lattice="-1.162 -3.786 0.064 0.009 -0.094 -5.395 6.467 -1.939 2.743" Properties=species:S:1:pos:R:3 pbc="T T T"
Ag 0.000 0.000 0.000
Pu 4.065 -3.319 0.065
Pu 1.249 -2.500 -2.652
S 3.837 -3.295 -2.634
S 1.477 -2.524 0.047
S 0.004 -0.047 -2.697
```

Calculated values
total moment: 11.00 μB/cell
Fermi-level density of states: 13.262 states/eV/f.u.
formation energy (no corrections): -6.59 eV per formula unit
calculated volume: 144.7 Å³/f.u.
electronic total energy: -8.415 eV per atom